No. 1
Crystalline InHO2 at its relaxed geometry. Source: Alexandria via LeMat-Bulk, functional PBE.

a b c (Å): 5.893 5.893 5.893
angles (deg): 31.81 31.81 31.81
Sites, in units of the cell vectors:
1 In 0.000 0.000 0.000
2 H 0.500 0.500 0.500
3 O 0.115 0.115 0.115
4 O 0.885 0.885 0.885

Results
DOS(E_F): 1.7 states/eV per cell
space-group type: R-3m, No. 166
E_tot: -3.5029 eV/atom

=====

No. 2
Crystalline Tl2TeBr at its relaxed geometry. Source: Alexandria via LeMat-Bulk, functional PBE.

a b c (Å): 3.557 4.072 9.101
angles (deg): 90.00 90.00 90.00
Sites, in units of the cell vectors:
1 Tl 0.002 0.000 0.269
2 Tl 0.998 0.000 0.731
3 Te 0.500 0.500 0.000
4 Br 0.500 0.500 0.500

Results
DOS(E_F): 1.2 states/eV per cell
space-group type: P2/m, No. 10
energy above the most stable polymorph in this dataset: 0.0569 eV/atom
energy relative to the elements, uncorrected: -426 meV per atom